Entry 1:
Here is BaCuAs2W after structural relaxation from the Alexandria database. Energies are from PBE.

a b c (Å): 5.790 5.790 5.859
angles (deg): 90.00 90.00 90.00
Space group P4/mmm (No. 123)
Asymmetric unit:
Ba  0.000  0.000  0.000 (multiplicity 1)
Cu  0.500  0.500  0.500 (multiplicity 1)
As  0.000  0.500  0.000 (multiplicity 2)
W  0.000  0.000  0.500 (multiplicity 1)

## Properties
DFT formation energy in eV per atom: 2.499
ρ in g/cm³: 4.5

=====

Entry 2:
Here is RbBi3Pd after structural relaxation from the Alexandria database. Energies are from PBE.

a b c (Å): 5.578 5.578 5.578
angles (deg): 90.00 90.00 90.00
Space group Pm-3m (No. 221)
Asymmetric unit:
Rb  0.000  0.000  0.000 (multiplicity 1)
Bi  0.000  0.500  0.500 (multiplicity 3)
Pd  0.500  0.500  0.500 (multiplicity 1)

## Properties
DFT formation energy in eV per atom: -0.002
Energy above the most stable polymorph in this dataset in meV/atom: 258.1
ρ in g/cm³: 7.8

=====

Entry 3:
Here is SiAs2Ru after structural relaxation from the Alexandria database. Energies are from PBE.

a b c (Å): 3.062 3.062 7.200
angles (deg): 90.00 90.00 90.00
Space group P4mm (No. 99)
Asymmetric unit:
Si  0.000  0.000  0.000 (multiplicity 1)
As  0.000  0.000  0.591 (multiplicity 1)
As  0.500  0.500  0.204 (multiplicity 1)
Ru  0.500  0.500  0.816 (multiplicity 1)

## Properties
Energy relative to the elements, uncorrected in eV per atom: -0.01
ρ in g/cm³: 6.9

=====

Entry 4:
Here is ZrTeP2 after structural relaxation from the Alexandria database. Energies are from PBE.

a b c (Å): 3.489 3.489 6.693
angles (deg): 90.00 90.00 90.00
Space group P4/mmm (No. 123)
Asymmetric unit:
Zr  0.000  0.000  0.000 (multiplicity 1)
Te  0.000  0.000  0.500 (multiplicity 1)
P  0.500  0.500  0.173 (multiplicity 2)

## Properties
Energy above the most stable polymorph in this dataset in meV/atom: 96.0
Energy relative to the elements, uncorrected in eV per atom: -0.49
ρ in g/cm³: 5.7

=====

Entry 5:
Here is Dy2Cl3O after structural relaxation from the Alexandria database. Energies are from PBE.

a b c (Å): 16.049 3.902 10.486
angles (deg): 90.00 121.09 90.00
Space group C2/m (No. 12)
Asymmetric unit:
Dy  0.081  0.000  0.454 (multiplicity 4)
Dy  0.135  0.500  0.786 (multiplicity 4)
Cl  0.043  0.500  0.239 (multiplicity 4)
Cl  0.166  0.000  0.011 (multiplicity 4)
Cl  0.224  0.500  0.615 (multiplicity 4)
O  0.083  0.000  0.670 (multiplicity 4)

## Properties
Energy relative to the elements, uncorrected in eV per atom: -2.57
ρ in g/cm³: 5.3

=====

Entry 6:
Here is RuI2N after structural relaxation from the Alexandria database. Energies are from PBE.

a b c (Å): 6.698 6.698 6.698
angles (deg): 90.00 90.00 90.00
Space group Fm-3m (No. 225)
Asymmetric unit:
Ru  0.000  0.000  0.000 (multiplicity 4)
I  0.250  0.250  0.250 (multiplicity 8)
N  0.000  0.000  0.500 (multiplicity 4)

## Properties
Energy above the most stable polymorph in this dataset in meV/atom: 268.3
Energy relative to the elements, uncorrected in eV per atom: 1.67
ρ in g/cm³: 8.2

=====

Question: The highest ρ belongs to which entry?
Answer: RuI2N

=====

Please write out number 1 again, unchanged.
Here is BaCuAs2W after structural relaxation from the Alexandria database. Energies are from PBE.

a b c (Å): 5.790 5.790 5.859
angles (deg): 90.00 90.00 90.00
Space group P4/mmm (No. 123)
Asymmetric unit:
Ba  0.000  0.000  0.000 (multiplicity 1)
Cu  0.500  0.500  0.500 (multiplicity 1)
As  0.000  0.500  0.000 (multiplicity 2)
W  0.000  0.000  0.500 (multiplicity 1)

## Properties
DFT formation energy in eV per atom: 2.499
ρ in g/cm³: 4.5